# La2Ga3Pd4Au GGA-PBE relaxed
data_La2Ga3Pd4Au
_chemical_formula_sum 'La2 Ga3 Pd4 Au1'
_cell_length_a 4.341
_cell_length_b 4.341
_cell_length_c 10.804
_cell_angle_alpha 90.00
_cell_angle_beta 90.00
_cell_angle_gamma 90.00
_space_group_name_H-M_alt 'P -4 m 2'
_space_group_IT_number 115
loop_
_space_group_symop_operation_xyz
'x,y,z'
'y,-x,-z'
'-x,-y,z'
'-y,x,-z'
'-x,y,z'
'-y,-x,-z'
'x,-y,z'
'y,x,-z'
loop_
_atom_site_label
_atom_site_type_symbol
_atom_site_fract_x
_atom_site_fract_y
_atom_site_fract_z
La1 La 0.000 0.500 0.246
Ga1 Ga 0.000 0.000 0.000
Ga2 Ga 0.000 0.500 0.620
Pd1 Pd 0.000 0.000 0.500
Pd2 Pd 0.000 0.500 0.848
Pd3 Pd 0.500 0.500 0.500
Au1 Au 0.500 0.500 0.000
# Formation enthalpy at 0 K   -7.794 eV/f.u.
# Total moment   0.00 μB per formula unit